Below is an optimized crystal structure of NaIrPd2, with properties calculated at the PBE-GGA level.

abc: 4.495 4.495 4.495
angles: 60.00 60.00 60.00
Sites, in units of the cell vectors:
Na1 0.000 0.000 0.000
Ir1 0.500 0.500 0.500
Pd1 0.750 0.750 0.750
Pd2 0.250 0.250 0.250

Density: 11.067 Mg/m³
E above lowest polymorph: 0.000 eV/atom
Space-group type: No. 225
Calculated total energy: -4.81 eV/atom
M_tot: 1.671 μB per cell